1.
The following is a GGA-PBE calculation of a relaxed Tl2Re3S6 crystal, from Alexandria.

Unit cell a=9.7807 b=9.7807 c=11.9844 alpha=90.23 beta=90.23 gamma=60.30
Positions (direct):
Tl1 0.0895 0.9105 0.7500
Tl2 0.1381 0.6432 0.5101
Tl3 0.3013 0.6987 0.2500
Tl4 0.3568 0.8619 0.9899
Tl5 0.6432 0.1381 0.0101
Tl6 0.6987 0.3013 0.7500
Tl7 0.8619 0.3568 0.4899
Tl8 0.9105 0.0895 0.2500
Re1 0.0352 0.3789 0.8706
Re2 0.1000 0.3163 0.0859
Re3 0.1918 0.4932 0.9790
Re4 0.3163 0.1000 0.5859
Re5 0.3789 0.0352 0.3706
Re6 0.4932 0.1918 0.4790
Re7 0.5068 0.8082 0.5210
Re8 0.6211 0.9648 0.6294
Re9 0.6837 0.9000 0.4141
Re10 0.8082 0.5068 0.0210
Re11 0.9000 0.6837 0.9141
Re12 0.9648 0.6211 0.1294
S1 0.0528 0.7743 0.0215
S2 0.0689 0.2244 0.6978
S3 0.1166 0.5493 0.7849
S4 0.2140 0.3001 0.4408
S5 0.2244 0.0689 0.1978
S6 0.2257 0.9472 0.4785
S7 0.2364 0.4348 0.1755
S8 0.3001 0.2140 0.9408
S9 0.4348 0.2364 0.6755
S10 0.4386 0.4932 0.9287
S11 0.4507 0.8834 0.7151
S12 0.4932 0.4386 0.4287
S13 0.5068 0.5614 0.5713
S14 0.5493 0.1166 0.2849
S15 0.5614 0.5068 0.0713
S16 0.5652 0.7636 0.3245
S17 0.6999 0.7860 0.0592
S18 0.7636 0.5652 0.8245
S19 0.7743 0.0528 0.5215
S20 0.7756 0.9311 0.8022
S21 0.7860 0.6999 0.5592
S22 0.8834 0.4507 0.2151
S23 0.9311 0.7756 0.3022
S24 0.9472 0.2257 0.9785

Calculated values
total magnetization: 0.00 μB per formula unit
E_tot: -289.97 eV/cell
volume: 22.6 Å³/atom

=====

2.
The following is a GGA-PBE calculation of a relaxed Tl2ReS crystal, from Alexandria.

Unit cell a=4.9205 b=4.9205 c=4.9205 alpha=60.00 beta=60.00 gamma=60.00
Positions (direct):
Tl1 0.2500 0.2500 0.2500
Tl2 0.7500 0.7500 0.7500
Re1 0.0000 0.0000 0.0000
S1 0.5000 0.5000 0.5000

Calculated values
total magnetization: 0.01 μB per formula unit
relative energy among the computed polymorphs: 129 meV/atom
volume: 21.1 Å³/atom

=====

3.
The following is a GGA-PBE calculation of a relaxed TlReS3 crystal, from Alexandria.

Unit cell a=8.5587 b=6.1903 c=8.6242 alpha=90.00 beta=99.06 gamma=90.00
Positions (direct):
Tl1 0.1098 0.1853 0.1875
Tl2 0.1098 0.3147 0.6875
Tl3 0.8902 0.6853 0.3125
Tl4 0.8902 0.8147 0.8125
Re1 0.4223 0.7435 0.5898
Re2 0.4223 0.7565 0.0898
Re3 0.5777 0.2435 0.9102
Re4 0.5777 0.2565 0.4102
S1 0.1694 0.6556 0.0736
S2 0.1694 0.8444 0.5736
S3 0.3356 0.0833 0.9584
S4 0.3356 0.4167 0.4584
S5 0.4491 0.5734 0.8360
S6 0.4491 0.9266 0.3360
S7 0.5509 0.0734 0.6640
S8 0.5509 0.4266 0.1640
S9 0.6644 0.5833 0.5416
S10 0.6644 0.9167 0.0416
S11 0.8306 0.1556 0.4264
S12 0.8306 0.3444 0.9264

Calculated values
total magnetization: 0.00 μB per formula unit
relative energy among the computed polymorphs: 0 meV/atom
volume: 22.6 Å³/atom

=====

4.
The following is a GGA-PBE calculation of a relaxed TlRe2S4 crystal, from Alexandria.

Unit cell a=7.1235 b=7.1235 c=7.1235 alpha=114.53 beta=100.54 gamma=113.69
Positions (direct):
Tl1 0.1279 0.2500 0.3779
Tl2 0.8721 0.7500 0.6221
Re1 0.4661 0.9244 0.0416
Re2 0.4786 0.4786 0.0000
Re3 0.4786 0.9786 0.5000
Re4 0.8828 0.4244 0.9584
S1 0.1770 0.4977 0.8038
S2 0.1770 0.8732 0.1793
S3 0.2586 0.5328 0.2258
S4 0.3070 0.0328 0.7742
S5 0.6099 0.4071 0.7028
S6 0.6938 0.3732 0.1962
S7 0.6938 0.9977 0.8207
S8 0.7043 0.9071 0.2972

Calculated values
total magnetization: 0.00 μB per formula unit
E_tot: -89.18 eV/cell
volume: 19.5 Å³/atom

=====

5.
The following is a GGA-PBE calculation of a relaxed Tl2ReWS crystal, from Alexandria.

Unit cell a=5.5477 b=5.5477 c=4.4625 alpha=90.00 beta=90.00 gamma=90.00
Positions (direct):
Tl1 0.0000 0.5000 0.0000
Tl2 0.5000 0.0000 0.0000
Re1 0.0000 0.0000 0.5000
W1 0.5000 0.5000 0.0000
S1 0.5000 0.5000 0.5000

Calculated values
total magnetization: 5.01 μB per formula unit
E_tot: -26.65 eV/cell
volume: 27.5 Å³/atom

=====

6.
The following is a GGA-PBE calculation of a relaxed YTlReS2 crystal, from Alexandria.

Unit cell a=4.6018 b=4.6018 c=5.7182 alpha=90.00 beta=90.00 gamma=90.00
Positions (direct):
Y1 0.0000 0.0000 0.0000
Tl1 0.5000 0.5000 0.0000
Re1 0.0000 0.0000 0.5000
S1 0.0000 0.5000 0.5000
S2 0.5000 0.0000 0.5000

Calculated values
total magnetization: 0.60 μB per formula unit
E_tot: -29.56 eV/cell
volume: 24.2 Å³/atom

=====

7.
The following is a GGA-PBE calculation of a relaxed Tl2ZnReS crystal, from Alexandria.

Unit cell a=5.3073 b=5.3073 c=4.9312 alpha=90.00 beta=90.00 gamma=90.00
Positions (direct):
Tl1 0.0000 0.5000 0.0000
Tl2 0.5000 0.0000 0.0000
Zn1 0.0000 0.0000 0.0000
Re1 0.0000 0.0000 0.5000
S1 0.5000 0.5000 0.5000

Calculated values
total magnetization: 4.23 μB per formula unit
E_tot: -16.35 eV/cell
volume: 27.8 Å³/atom

=====

8.
The following is a GGA-PBE calculation of a relaxed Zr2TlReS crystal, from Alexandria.

Unit cell a=4.7266 b=4.7266 c=5.0868 alpha=90.00 beta=90.00 gamma=90.00
Positions (direct):
Zr1 0.0000 0.5000 0.0000
Zr2 0.5000 0.0000 0.0000
Tl1 0.0000 0.0000 0.5000
Re1 0.5000 0.5000 0.5000
S1 0.0000 0.0000 0.0000

Calculated values
total magnetization: 1.42 μB per formula unit
E_tot: -32.90 eV/cell
volume: 22.7 Å³/atom

=====

9.
The following is a GGA-PBE calculation of a relaxed ZrTlRe2S crystal, from Alexandria.

Unit cell a=5.1139 b=5.1139 c=4.9778 alpha=90.00 beta=90.00 gamma=90.00
Positions (direct):
Zr1 0.0000 0.0000 0.0000
Tl1 0.5000 0.5000 0.5000
Re1 0.0000 0.5000 0.0000
Re2 0.5000 0.0000 0.0000
S1 0.0000 0.0000 0.5000

Calculated values
total magnetization: 5.58 μB per formula unit
E_tot: -31.58 eV/cell
volume: 26.0 Å³/atom

=====

10.
The following is a GGA-PBE calculation of a relaxed TmReS2 crystal, from Alexandria.

Unit cell a=8.6607 b=8.6607 c=8.6607 alpha=22.05 beta=22.05 gamma=22.05
Positions (direct):
Tm1 0.0000 0.0000 0.0000
Re1 0.5000 0.5000 0.5000
S1 0.1066 0.1066 0.1066
S2 0.8934 0.8934 0.8934

Calculated values
total magnetization: 0.00 μB per formula unit
E_tot: -26.04 eV/cell
volume: 20.1 Å³/atom

=====

11.
The following is a GGA-PBE calculation of a relaxed Tm2ReS crystal, from Alexandria.

Unit cell a=9.1300 b=9.1300 c=9.1300 alpha=21.11 beta=21.11 gamma=21.11
Positions (direct):
Tm1 0.0991 0.0991 0.0991
Tm2 0.9009 0.9009 0.9009
Re1 0.0000 0.0000 0.0000
S1 0.5000 0.5000 0.5000

Calculated values
total magnetization: 0.66 μB per formula unit
E_tot: -25.53 eV/cell
volume: 21.6 Å³/atom

=====

12.
The following is a GGA-PBE calculation of a relaxed TmReS crystal, from Alexandria.

Unit cell a=3.6146 b=3.6146 c=9.0731 alpha=90.00 beta=90.00 gamma=90.00
Positions (direct):
Tm1 0.2500 0.2500 0.2070
Tm2 0.7500 0.7500 0.7930
Re1 0.2500 0.7500 0.5000
Re2 0.7500 0.2500 0.5000
S1 0.2500 0.2500 0.8821
S2 0.7500 0.7500 0.1179

Calculated values
total magnetization: 0.00 μB per formula unit
E_tot: -47.10 eV/cell
volume: 19.8 Å³/atom

=====

13.
The following is a GGA-PBE calculation of a relaxed UReS6 crystal, from Alexandria.

Unit cell a=5.9264 b=5.9347 c=6.2246 alpha=67.50 beta=70.73 gamma=67.02
Positions (direct):
U1 0.0000 0.0000 0.0000
Re1 0.5000 0.5000 0.5000
S1 0.1397 0.3713 0.6054
S2 0.2831 0.8936 0.2612
S3 0.3526 0.6590 0.8310
S4 0.6474 0.3410 0.1690
S5 0.7169 0.1064 0.7388
S6 0.8603 0.6287 0.3946

Calculated values
total magnetization: 0.00 μB per formula unit
E_tot: -51.88 eV/cell
volume: 22.7 Å³/atom

=====

14.
The following is a GGA-PBE calculation of a relaxed U3ReS6 crystal, from Alexandria.

Unit cell a=7.5815 b=7.5815 c=7.5815 alpha=97.85 beta=97.85 gamma=97.85
Positions (direct):
U1 0.1176 0.2912 0.6319
U2 0.2912 0.6319 0.1176
U3 0.3681 0.8824 0.7088
U4 0.6319 0.1176 0.2912
U5 0.7088 0.3681 0.8824
U6 0.8824 0.7088 0.3681
Re1 0.0000 0.0000 0.0000
Re2 0.5000 0.5000 0.5000
S1 0.0171 0.9335 0.6840
S2 0.0665 0.3160 0.9829
S3 0.1936 0.5691 0.4348
S4 0.3160 0.9829 0.0665
S5 0.4309 0.5652 0.8064
S6 0.4348 0.1936 0.5691
S7 0.5652 0.8064 0.4309
S8 0.5691 0.4348 0.1936
S9 0.6840 0.0171 0.9335
S10 0.8064 0.4309 0.5652
S11 0.9335 0.6840 0.0171
S12 0.9829 0.0665 0.3160

Calculated values
total magnetization: 7.00 μB per formula unit
E_tot: -163.26 eV/cell
volume: 21.1 Å³/atom

=====

15.
The following is a GGA-PBE calculation of a relaxed UReS2 crystal, from Alexandria.

Unit cell a=9.0787 b=9.0787 c=9.0787 alpha=19.35 beta=19.35 gamma=19.35
Positions (direct):
U1 0.0000 0.0000 0.0000
Re1 0.5000 0.5000 0.5000
S1 0.1041 0.1041 0.1041
S2 0.8959 0.8959 0.8959

Calculated values
total magnetization: 2.51 μB per formula unit
E_tot: -32.35 eV/cell
volume: 18.0 Å³/atom

=====

16.
The following is a GGA-PBE calculation of a relaxed UReS4 crystal, from Alexandria.

Unit cell a=6.8883 b=5.7696 c=6.8446 alpha=90.00 beta=115.00 gamma=90.00
Positions (direct):
U1 0.0000 0.0000 0.0000
U2 0.0000 0.5000 0.5000
Re1 0.5000 0.0000 0.0000
Re2 0.5000 0.5000 0.5000
S1 0.2047 0.2458 0.3466
S2 0.2047 0.2542 0.8466
S3 0.3474 0.7460 0.6882
S4 0.3474 0.7540 0.1882
S5 0.6526 0.2460 0.8118
S6 0.6526 0.2540 0.3118
S7 0.7953 0.7458 0.1534
S8 0.7953 0.7542 0.6534

Calculated values
total magnetization: 0.70 μB per formula unit
E_tot: -89.37 eV/cell
volume: 20.5 Å³/atom

=====

17.
The following is a GGA-PBE calculation of a relaxed U2ReS crystal, from Alexandria.

Unit cell a=7.0070 b=7.0070 c=7.0070 alpha=31.97 beta=31.97 gamma=31.97
Positions (direct):
U1 0.2476 0.2476 0.2476
U2 0.7524 0.7524 0.7524
Re1 0.5000 0.5000 0.5000
S1 0.0000 0.0000 0.0000

Calculated values
total magnetization: 3.24 μB per formula unit
relative energy among the computed polymorphs: 68 meV/atom
volume: 21.4 Å³/atom

=====

18.
The following is a GGA-PBE calculation of a relaxed UReS crystal, from Alexandria.

Unit cell a=3.7105 b=3.7105 c=8.4944 alpha=90.00 beta=90.00 gamma=90.00
Positions (direct):
U1 0.2500 0.2500 0.2099
U2 0.7500 0.7500 0.7901
Re1 0.2500 0.7500 0.5000
Re2 0.7500 0.2500 0.5000
S1 0.2500 0.2500 0.8726
S2 0.7500 0.7500 0.1274

Calculated values
total magnetization: 2.04 μB per formula unit
E_tot: -58.41 eV/cell
volume: 19.5 Å³/atom

=====

19.
The following is a GGA-PBE calculation of a relaxed U2ReS crystal, from Alexandria.

Unit cell a=3.2244 b=3.2244 c=7.4211 alpha=90.00 beta=90.00 gamma=90.00
Positions (direct):
U1 0.0000 0.0000 0.2486
U2 0.0000 0.0000 0.7514
Re1 0.5000 0.5000 0.0000
S1 0.5000 0.5000 0.5000

Calculated values
total magnetization: 3.98 μB per formula unit
relative energy among the computed polymorphs: 0 meV/atom
volume: 19.3 Å³/atom

=====

20.
The following is a GGA-PBE calculation of a relaxed V2ReS crystal, from Alexandria.

Unit cell a=7.4489 b=7.4489 c=7.4489 alpha=23.25 beta=23.25 gamma=23.25
Positions (direct):
V1 0.2447 0.2447 0.2447
V2 0.7553 0.7553 0.7553
Re1 0.0000 0.0000 0.0000
S1 0.5000 0.5000 0.5000

Calculated values
total magnetization: 0.03 μB per formula unit
E_tot: -35.47 eV/cell
volume: 14.1 Å³/atom

=====

21.
The following is a GGA-PBE calculation of a relaxed VReS4 crystal, from Alexandria.

Unit cell a=6.3501 b=5.1414 c=6.6929 alpha=90.00 beta=118.23 gamma=90.00
Positions (direct):
V1 0.0000 0.0000 0.0000
V2 0.0000 0.5000 0.5000
Re1 0.5000 0.0000 0.0000
Re2 0.5000 0.5000 0.5000
S1 0.1766 0.2002 0.3574
S2 0.1766 0.2998 0.8574
S3 0.3173 0.7002 0.1404
S4 0.3173 0.7998 0.6404
S5 0.6827 0.2002 0.3596
S6 0.6827 0.2998 0.8596
S7 0.8234 0.7002 0.1426
S8 0.8234 0.7998 0.6426

Calculated values
total magnetization: 0.54 μB per formula unit
E_tot: -82.67 eV/cell
volume: 16.0 Å³/atom

=====

22.
The following is a GGA-PBE calculation of a relaxed VReS crystal, from Alexandria.

Unit cell a=2.9793 b=2.9793 c=9.3740 alpha=90.00 beta=90.00 gamma=90.00
Positions (direct):
V1 0.2500 0.2500 0.0998
V2 0.7500 0.7500 0.9002
Re1 0.2500 0.2500 0.4199
Re2 0.7500 0.7500 0.5801
S1 0.2500 0.2500 0.7949
S2 0.7500 0.7500 0.2051

Calculated values
total magnetization: 0.00 μB per formula unit
relative energy among the computed polymorphs: 0 meV/atom
volume: 13.9 Å³/atom

=====

23.
The following is a GGA-PBE calculation of a relaxed VReS crystal, from Alexandria.

Unit cell a=4.0616 b=4.0616 c=2.9049 alpha=90.00 beta=90.00 gamma=120.00
Positions (direct):
V1 0.0000 0.0000 0.0000
Re1 0.3333 0.6667 0.5000
S1 0.6667 0.3333 0.5000

Calculated values
total magnetization: 0.00 μB per formula unit
relative energy among the computed polymorphs: 73 meV/atom
volume: 13.8 Å³/atom